GaNi3F: relaxed, PBE with a Hubbard U.

Properties
E above lowest polymorph, eV per atom: 0.000
Volume, Å³/f.u.: 68.3
Total magnetization, μB per atom: 0.5957
Symmetry: Pm-3m, No. 221

Unit cell a=4.0870 b=4.0870 c=4.0870 alpha=90.00 beta=90.00 gamma=90.00
Last column: nearest neighbours and their distance in Å.
Fractional coordinates of all 5 atoms:
1 F 0.0000 0.0000 0.0000  6 Ni 2.04
2 Ni 0.0000 0.5000 0.0000  2 F 2.04
3 Ni 0.5000 0.0000 0.0000  2 F 2.04
4 Ni 0.0000 0.0000 0.5000  2 F 2.04
5 Ga 0.5000 0.5000 0.5000  12 Ni 2.89